First-principles (PBE-GGA) data for crystalline LiDy12Co6 at its relaxed geometry, as listed in Alexandria.

Output
The value obtained for the density of states at the Fermi level is 13.69 states/eV/f.u. The calculation puts the formation energy at -3.2 eV/f.u. Its space group is Im-3 (204). The total energy is -5.42 eV/atom.

Lattice parameters (Å, degrees): 8.391 8.391 8.391 109.47 109.47 109.47
Sites, in units of the cell vectors:
Li (0.000, 0.000, 0.000)
Dy (0.111, 0.804, 0.306)
Dy (0.196, 0.306, 0.502)
Dy (0.196, 0.694, 0.889)
Dy (0.306, 0.111, 0.804)
Dy (0.306, 0.502, 0.196)
Dy (0.498, 0.804, 0.694)
Dy (0.502, 0.196, 0.306)
Dy (0.694, 0.498, 0.804)
Dy (0.694, 0.889, 0.196)
Dy (0.804, 0.306, 0.111)
Dy (0.804, 0.694, 0.498)
Dy (0.889, 0.196, 0.694)
Co (0.113, 0.613, 0.500)
Co (0.387, 0.500, 0.887)
Co (0.500, 0.113, 0.613)
Co (0.500, 0.887, 0.387)
Co (0.613, 0.500, 0.113)
Co (0.887, 0.387, 0.500)